w | Si2As2Os after structural relaxation. Source: Alexandria, functional PBE.

Cell: 6.960 6.960 3.419 Å, 90.00 90.00 90.00°
Space group P4/mbm (No. 127)
Inequivalent atoms, fractional coordinates:
Si 0.171 0.329 0.000
As 0.150 0.650 0.500
Os 0.000 0.000 0.500

Results
Total magnetization (μB/cell): 0.000

x | Si2As2Os after structural relaxation. Source: Alexandria, functional PBE.

Cell: 3.259 3.259 15.941 Å, 90.00 90.00 90.00°
Space group I4/mmm (No. 139)
Inequivalent atoms, fractional coordinates:
Si 0.000 0.500 0.250
As 0.000 0.000 0.093
Os 0.000 0.000 0.500

Results
Total magnetization (μB/cell): 0.000

It comes down to x, which is 215 meV/atom more stable than the next structure.

w | SnAsOs2 after structural relaxation. Source: Alexandria, functional PBE.

Cell: 6.373 6.373 6.373 Å, 90.00 90.00 90.00°
Space group Fm-3m (No. 225)
Inequivalent atoms, fractional coordinates:
Sn 0.000 0.000 0.000
As 0.000 0.000 0.500
Os 0.250 0.250 0.250

Results
Total magnetization (μB/cell): 0.000

x | SnAsOs2 after structural relaxation. Source: Alexandria, functional PBE.

Cell: 5.853 5.853 10.975 Å, 90.00 90.00 90.00°
Space group I-42d (No. 122)
Inequivalent atoms, fractional coordinates:
Sn 0.000 0.000 0.000
As 0.000 0.000 0.500
Os 0.214 0.250 0.625

Results
Total magnetization (μB/cell): 0.000

It comes down to w, which is 430 meV/atom more stable than the next structure.